1.
4
Lattice="3.735 -1.424 0.000 3.735 1.424 0.000 -2.042 0.000 6.239" Properties=species:S:1:pos:R:3 comment="CdCu2P | Alexandria | PBE-GGA | relaxed" ef_ev_per_fu=0.6 final_energy_ev_per_atom=-3.4866 density_g_cm3=6.77 magmom_total_mub_per_fu=0.0 dos_ef_per_ev_cell=1.86 pbc="T T T"
Cd 0.000 0.000 0.000
Cu 0.563 0.000 4.200
Cu 4.865 0.000 2.039
P 2.714 0.000 3.120

---

2.
10
Lattice="6.269 0.000 0.000 0.000 6.269 0.000 0.000 0.000 4.303" Properties=species:S:1:pos:R:3 comment="Cd2Cu2P | Alexandria | PBE-GGA | relaxed" ef_ev_per_fu=0.6 final_energy_ev_per_atom=-2.9640 density_g_cm3=7.52 magmom_total_mub_per_fu=0.0 dos_ef_per_ev_cell=4.33 pbc="T T T"
Cd 1.014 2.121 0.000
Cd 2.121 5.255 0.000
Cd 4.148 1.014 0.000
Cd 5.255 4.148 0.000
Cu 0.918 4.052 2.152
Cu 2.217 0.918 2.152
Cu 4.052 5.351 2.152
Cu 5.351 2.217 2.152
P 0.000 0.000 2.152
P 3.134 3.134 2.152